[1]
The following is a PBE calculation of a relaxed NbPdO2 crystal, from Alexandria.

Cell lengths 5.600, 5.600, 5.600 Å; angles 90.00, 90.00, 90.00 degrees
Sites, in units of the cell vectors:
Nb  0.000  0.000  0.000
Nb  0.000  0.500  0.500
Nb  0.500  0.000  0.500
Nb  0.500  0.500  0.000
Pd  0.000  0.000  0.500
Pd  0.000  0.500  0.000
Pd  0.500  0.000  0.000
Pd  0.500  0.500  0.500
O  0.250  0.250  0.250
O  0.250  0.250  0.750
O  0.250  0.750  0.250
O  0.250  0.750  0.750
O  0.750  0.250  0.250
O  0.750  0.250  0.750
O  0.750  0.750  0.250
O  0.750  0.750  0.750

## Properties
As for the total magnetization: 0.00 μB per formula unit. The electronic total energy is -6.994 eV/atom. For the uncorrected formation energy, the calculation gives -699.6 meV per atom. For the calculated volume, the calculation gives 10.98 Å³ per atom.


[2]
The following is a PBE calculation of a relaxed ZnHgW2 crystal, from Alexandria.

Cell lengths 2.756, 4.422, 5.508 Å; angles 90.00, 90.00, 90.00 degrees
Sites, in units of the cell vectors:
Zn  0.000  0.000  0.000
Hg  0.000  0.000  0.500
W  0.500  0.500  0.232
W  0.500  0.500  0.768

## Properties
The value obtained for the formation energy is 0.61 eV/atom. As for the total magnetization: 0.00 μB per formula unit. The electronic total energy is -6.256 eV/atom. For the calculated volume, the calculation gives 16.78 Å³ per atom.


[3]
The following is a PBE calculation of a relaxed YHoBeIr crystal, from Alexandria.

Cell lengths 6.845, 6.845, 6.845 Å; angles 90.00, 90.00, 90.00 degrees
Sites, in units of the cell vectors:
Y  0.000  0.000  0.000
Y  0.000  0.500  0.500
Y  0.500  0.000  0.500
Y  0.500  0.500  0.000
Ho  0.000  0.000  0.500
Ho  0.000  0.500  0.000
Ho  0.500  0.000  0.000
Ho  0.500  0.500  0.500
Be  0.250  0.250  0.250
Be  0.250  0.750  0.750
Be  0.750  0.250  0.750
Be  0.750  0.750  0.250
Ir  0.250  0.250  0.750
Ir  0.250  0.750  0.250
Ir  0.750  0.250  0.250
Ir  0.750  0.750  0.750

## Properties
The value obtained for the formation energy is -0.41 eV/atom. As for the total magnetization: 0.00 μB per formula unit. The electronic total energy is -6.319 eV/atom. For the calculated volume, the calculation gives 20.04 Å³ per atom.


[4]
The following is a PBE calculation of a relaxed TaP3S crystal, from Alexandria.

Cell lengths 4.353, 4.353, 4.353 Å; angles 90.00, 90.00, 90.00 degrees
Sites, in units of the cell vectors:
Ta  0.000  0.000  0.000
P  0.000  0.500  0.500
P  0.500  0.000  0.500
P  0.500  0.500  0.000
S  0.500  0.500  0.500

## Properties
As for the total magnetization: 0.00 μB per formula unit. The electronic total energy is -5.532 eV/atom. For the uncorrected formation energy, the calculation gives 910.0 meV per atom. For the calculated volume, the calculation gives 16.49 Å³ per atom.